VASP calculation (PBE-GGA) on a geometry-optimized KTa2Ru structure.

abc: 3.930 2.950 8.721
angles: 76.76 90.00 90.00
Fractional positions:
Ta  0.000  0.064  0.896
Ta  0.000  0.436  0.604
K  0.500  0.250  0.250
Ru  0.500  0.750  0.750

As for the energy above the most stable polymorph in this dataset: 118 meV per atom. The calculation puts the calculated formation energy at 14.0 kcal/mol of atoms. Its space group is No. 10. Its crystal system is monoclinic. The total moment comes out at 0.00 μB per cell.

=====

VASP calculation (PBE-GGA) on a geometry-optimized Ba2GaHg12 structure.

abc: 6.978 6.978 18.086
angles: 90.00 90.00 90.00
Fractional positions:
Ba  0.500  0.000  0.245
Ba  0.000  0.500  0.755
Ba  0.000  0.500  0.245
Ba  0.500  0.000  0.755
Hg  0.659  0.841  0.568
Hg  0.500  0.500  0.815
Hg  0.500  0.500  0.652
Hg  0.000  0.000  0.815
Hg  0.250  0.250  0.913
Hg  0.750  0.250  0.087
Hg  0.500  0.500  0.185
Hg  0.750  0.750  0.087
Hg  0.000  0.000  0.348
Hg  0.250  0.750  0.913
Hg  0.659  0.159  0.432
Hg  0.341  0.159  0.568
Hg  0.500  0.500  0.348
Hg  0.250  0.750  0.087
Hg  0.250  0.250  0.087
Hg  0.750  0.750  0.913
Hg  0.341  0.841  0.432
Hg  0.159  0.341  0.432
Hg  0.000  0.000  0.185
Hg  0.841  0.341  0.568
Hg  0.750  0.250  0.913
Hg  0.000  0.000  0.652
Hg  0.159  0.659  0.568
Hg  0.841  0.659  0.432
Ga  0.000  0.500  0.000
Ga  0.500  0.000  0.000

The calculation puts the calculated formation energy at -5.1 kcal/mol of atoms. Its space group is No. 125. Its crystal system is tetragonal. The total moment comes out at 0.00 μB per cell.

=====

VASP calculation (PBE-GGA) on a geometry-optimized Pm4DyY structure.

abc: 3.479 8.283 8.283
angles: 90.14 90.00 90.00
Fractional positions:
Pm  0.500  0.740  0.260
Pm  0.000  0.239  0.239
Pm  0.000  0.761  0.761
Pm  0.500  0.260  0.740
Dy  0.500  0.000  0.000
Y  0.000  0.500  0.500

As for the energy above the most stable polymorph in this dataset: 531 meV per atom. The calculation puts the calculated formation energy at 14.7 kcal/mol of atoms. Its space group is No. 65. Its crystal system is orthorhombic. The total moment comes out at 0.00 μB per cell.

=====

VASP calculation (PBE-GGA) on a geometry-optimized Pm3Pd2Au4 structure.

abc: 4.939 5.354 8.796
angles: 101.62 90.00 117.47
Fractional positions:
Au  0.051  0.102  0.356
Au  0.949  0.898  0.644
Au  0.700  0.399  0.073
Au  0.300  0.601  0.927
Pm  0.638  0.277  0.707
Pm  0.362  0.723  0.293
Pm  0.000  0.000  0.000
Pd  0.293  0.587  0.607
Pd  0.707  0.413  0.393

As for the energy above the most stable polymorph in this dataset: 8 meV per atom. The calculation puts the calculated formation energy at -17.7 kcal/mol of atoms. Its space group is No. 12. Its crystal system is monoclinic. The total moment comes out at 0.00 μB per cell.

=====

VASP calculation (PBE-GGA) on a geometry-optimized Sm2Ho8Zr structure.

abc: 6.588 9.925 9.925
angles: 38.26 60.99 60.99
Fractional positions:
Ho  0.773  0.663  0.176
Ho  0.227  0.337  0.824
Ho  0.773  0.176  0.663
Ho  0.269  0.408  0.408
Ho  0.161  0.755  0.755
Ho  0.227  0.824  0.337
Ho  0.731  0.592  0.592
Ho  0.839  0.245  0.245
Zr  0.000  0.000  0.000
Sm  0.443  0.186  0.186
Sm  0.557  0.814  0.814

As for the energy above the most stable polymorph in this dataset: 161 meV per atom. The calculation puts the calculated formation energy at 4.7 kcal/mol of atoms. Its space group is No. 12. Its crystal system is monoclinic. The total moment comes out at 0.00 μB per cell.

=====

VASP calculation (PBE-GGA) on a geometry-optimized Hf2GaPd structure.

abc: 4.314 4.315 5.591
angles: 67.36 67.36 60.00
Fractional positions:
Hf  0.901  0.664  0.536
Hf  0.699  0.462  0.140
Ga  0.113  0.876  0.898
Pd  0.498  0.261  0.744

The calculation puts the calculated formation energy at -6.5 kcal/mol of atoms. Its space group is No. 160. Its crystal system is trigonal. The total moment comes out at 0.00 μB per cell.

=====

VASP calculation (PBE-GGA) on a geometry-optimized Ho2Al3ZnPt4 structure.

abc: 4.083 4.083 11.014
angles: 90.00 90.00 90.00
Fractional positions:
Zn  0.500  0.500  0.500
Al  0.500  0.000  0.868
Al  0.000  0.500  0.132
Al  0.000  0.000  0.500
Ho  0.500  0.000  0.257
Ho  0.000  0.500  0.743
Pt  0.500  0.000  0.645
Pt  0.500  0.500  0.000
Pt  0.000  0.000  0.000
Pt  0.000  0.500  0.355

The calculation puts the calculated formation energy at -23.9 kcal/mol of atoms. Its space group is No. 115. Its crystal system is tetragonal. The total moment comes out at 0.00 μB per cell.

=====

VASP calculation (PBE-GGA) on a geometry-optimized La2SiMo structure.

abc: 3.896 3.896 6.451
angles: 90.00 90.00 90.00
Last column: magnetic moment on the atom in μB.
Fractional positions:
La  0.000  0.000  0.988  0.02
La  0.000  0.000  0.512  0.02
Si  0.500  0.500  0.750  -0.01
Mo  0.500  0.500  0.250  0.96

Its space group is No. 123. Its crystal system is tetragonal. The total moment comes out at 1.22 μB per cell. The formation energy from raw total energies comes out at 0.1662 eV/atom.

=====

VASP calculation (PBE-GGA) on a geometry-optimized Sm4GePS2 structure.

abc: 4.112 7.101 7.118
angles: 70.50 90.00 90.00
Fractional positions:
S  0.500  0.000  0.500
S  0.000  0.000  0.000
Sm  0.500  0.256  0.746
Sm  0.000  0.748  0.748
Sm  0.500  0.744  0.254
Sm  0.000  0.252  0.252
P  0.000  0.500  0.500
Ge  0.500  0.500  0.000

Its space group is No. 10. Its crystal system is monoclinic. The total moment comes out at 0.00 μB per cell. The formation energy from raw total energies comes out at -1.6702 eV/atom.

=====

VASP calculation (PBE-GGA) on a geometry-optimized BiPCl3 structure.

abc: 5.459 5.459 5.459
angles: 90.00 90.00 90.00
Last column: magnetic moment on the atom in μB.
Fractional positions:
Bi  0.000  0.000  0.000  0.00
Cl  0.000  0.000  0.500  0.04
Cl  0.500  0.000  0.000  0.03
Cl  0.000  0.500  0.000  0.02
P  0.500  0.500  0.500  1.20

As for the energy above the most stable polymorph in this dataset: 0 meV per atom. Its space group is No. 221. Its crystal system is cubic. The total moment comes out at 3.00 μB per cell. The formation energy from raw total energies comes out at -0.0078 eV/atom.

=====

VASP calculation (PBE-GGA) on a geometry-optimized TaTiP2 structure.

abc: 5.566 5.566 6.803
angles: 65.85 65.85 90.00
Fractional positions:
P  0.624  0.125  0.250
P  0.126  0.625  0.250
P  0.375  0.376  0.750
P  0.875  0.874  0.750
Ta  0.750  0.250  0.500
Ta  0.000  0.000  0.000
Ti  0.500  0.500  0.000
Ti  0.250  0.750  0.500

As for the energy above the most stable polymorph in this dataset: 756 meV per atom. The calculation puts the calculated formation energy at -5.0 kcal/mol of atoms. Its space group is No. 122. Its crystal system is tetragonal. The total moment comes out at 0.00 μB per cell.

=====

VASP calculation (PBE-GGA) on a geometry-optimized ZrFeNiIr structure.

abc: 4.347 4.347 4.347
angles: 60.00 60.00 60.00
Last column: magnetic moment on the atom in μB.
Fractional positions:
Ir  0.750  0.750  0.750  0.33
Ni  0.000  0.000  0.000  0.11
Zr  0.250  0.250  0.250  -0.20
Fe  0.500  0.500  0.500  2.41

The calculation puts the calculated formation energy at -6.3 kcal/mol of atoms. Its space group is No. 216. Its crystal system is cubic. The total moment comes out at 2.57 μB per cell.

=====

VASP calculation (PBE-GGA) on a geometry-optimized FeCo structure.

abc: 2.463 4.708 6.170
angles: 77.78 97.84 100.65
Last column: magnetic moment on the atom in μB.
Fractional positions:
Co  0.012  0.997  0.000  1.75
Co  0.833  0.167  0.333  1.75
Co  0.655  0.336  0.666  1.75
Fe  0.500  0.497  0.000  2.60
Fe  0.167  0.837  0.667  2.60
Fe  0.333  0.667  0.333  2.59

The calculation puts the calculated formation energy at -0.2 kcal/mol of atoms. Its space group is No. 2. Its crystal system is triclinic. The total moment comes out at 12.91 μB per cell.

=====

VASP calculation (PBE-GGA) on a geometry-optimized Gd2FePt structure.

abc: 4.916 4.916 4.916
angles: 60.00 60.00 60.00
Last column: magnetic moment on the atom in μB.
Fractional positions:
Gd  0.250  0.250  0.250  -7.23
Gd  0.750  0.750  0.750  -7.23
Fe  0.000  0.000  0.000  1.88
Pt  0.500  0.500  0.500  0.06

As for the energy above the most stable polymorph in this dataset: 45 meV per atom. The calculation puts the calculated formation energy at -10.9 kcal/mol of atoms. Its space group is No. 225. Its crystal system is cubic. The total moment comes out at 13.05 μB per cell.

=====

VASP calculation (PBE-GGA) on a geometry-optimized BaSrAl3 structure.

abc: 5.827 5.827 5.827
angles: 90.00 90.00 90.00
Fractional positions:
Sr  0.000  0.000  0.000
Al  0.000  0.500  0.000
Al  0.000  0.000  0.500
Al  0.500  0.000  0.000
Ba  0.500  0.500  0.500

As for the energy above the most stable polymorph in this dataset: 0 meV per atom. The calculation puts the calculated formation energy at 16.1 kcal/mol of atoms. Its space group is No. 221. Its crystal system is cubic. The total moment comes out at 0.00 μB per cell.

=====

VASP calculation (PBE-GGA) on a geometry-optimized LaNd2Ge structure.

abc: 4.130 4.130 9.638
angles: 77.63 77.63 60.00
Fractional positions:
La  0.502  0.502  0.495
Nd  0.061  0.061  0.818
Nd  0.272  0.272  0.184
Ge  0.666  0.666  0.003

As for the energy above the most stable polymorph in this dataset: 197 meV per atom. The calculation puts the calculated formation energy at -5.8 kcal/mol of atoms. Its space group is No. 160. Its crystal system is trigonal. The total moment comes out at 0.00 μB per cell.

=====

VASP calculation (PBE-GGA) on a geometry-optimized Mg2OsBr2 structure.

abc: 7.989 7.989 3.279
angles: 90.00 90.00 90.00
Last column: magnetic moment on the atom in μB.
Fractional positions:
Br  0.633  0.133  0.000  0.04
Br  0.867  0.633  0.000  0.03
Br  0.133  0.367  0.000  0.03
Br  0.367  0.867  0.000  0.04
Mg  0.313  0.187  0.500  -0.02
Mg  0.187  0.687  0.500  -0.03
Mg  0.687  0.813  0.500  -0.02
Mg  0.813  0.313  0.500  -0.03
Os  0.500  0.500  0.000  1.97
Os  0.000  0.000  0.000  1.97

As for the energy above the most stable polymorph in this dataset: 104 meV per atom. Its space group is No. 127. Its crystal system is tetragonal. The total moment comes out at 4.12 μB per cell. The formation energy from raw total energies comes out at 0.4934 eV/atom.

=====

VASP calculation (PBE-GGA) on a geometry-optimized Sr3Sm structure.

abc: 8.142 8.142 6.573
angles: 90.00 90.00 120.00
Last column: magnetic moment on the atom in μB.
Fractional positions:
Sm  0.333  0.667  0.750  0.08
Sm  0.667  0.333  0.250  0.08
Sr  0.828  0.172  0.750  0.01
Sr  0.344  0.172  0.750  0.01
Sr  0.172  0.828  0.250  0.01
Sr  0.828  0.656  0.750  0.01
Sr  0.172  0.344  0.250  0.01
Sr  0.656  0.828  0.250  0.01

As for the energy above the most stable polymorph in this dataset: 10 meV per atom. The calculation puts the calculated formation energy at 4.0 kcal/mol of atoms. Its space group is No. 194. Its crystal system is hexagonal. The total moment comes out at 0.61 μB per cell.

=====

VASP calculation (PBE-GGA) on a geometry-optimized PrNd12Sm3 structure.

abc: 5.194 5.194 20.753
angles: 90.00 90.00 90.00
Fractional positions:
Nd  0.000  0.500  0.874
Nd  0.500  0.000  0.375
Nd  0.500  0.500  0.500
Nd  0.500  0.000  0.625
Nd  0.000  0.500  0.375
Nd  0.500  0.500  0.749
Nd  0.000  0.500  0.625
Nd  0.500  0.500  0.251
Nd  0.500  0.000  0.126
Nd  0.000  0.500  0.126
Nd  0.500  0.500  0.000
Nd  0.500  0.000  0.874
Sm  0.000  0.000  0.500
Sm  0.000  0.000  0.251
Sm  0.000  0.000  0.749
Pr  0.000  0.000  0.000

The calculation puts the calculated formation energy at 0.3 kcal/mol of atoms. Its space group is No. 123. Its crystal system is tetragonal. The total moment comes out at 0.00 μB per cell.

=====

VASP calculation (PBE-GGA) on a geometry-optimized AgGe2Rh2 structure.

abc: 3.826 3.826 6.362
angles: 72.50 72.50 90.00
Fractional positions:
Rh  0.615  0.615  0.771
Rh  0.385  0.385  0.229
Ge  0.750  0.250  0.500
Ge  0.250  0.750  0.500
Ag  0.000  0.000  0.000

As for the energy above the most stable polymorph in this dataset: 139 meV per atom. The calculation puts the calculated formation energy at -4.1 kcal/mol of atoms. Its space group is No. 139. Its crystal system is tetragonal. The total moment comes out at 0.00 μB per cell.